[1]
# PBE Ce4SiAs3, relaxed
data_Ce4SiAs3
_chemical_formula_sum 'Ce4 Si1 As3'
_cell_length_a 5.953
_cell_length_b 5.953
_cell_length_c 5.953
_cell_angle_alpha 90.00
_cell_angle_beta 90.00
_cell_angle_gamma 90.00
_space_group_name_H-M_alt 'P m -3 m'
_space_group_IT_number 221
_space_group_name_Hall '-P 4 2 3'
loop_
_atom_site_label
_atom_site_type_symbol
_atom_site_fract_x
_atom_site_fract_y
_atom_site_fract_z
Ce1 Ce 0.000 0.000 0.000
Ce2 Ce 0.000 0.500 0.500
Si1 Si 0.500 0.500 0.500
As1 As 0.000 0.000 0.500
# VASP energy	-6.5794	eV per atom
# volume	211.0	Å³/f.u.



[2]
# PBE Ce7Si3As, relaxed
data_Ce7Si3As
_chemical_formula_sum 'Ce14 Si6 As2'
_cell_length_a 5.645
_cell_length_b 8.841
_cell_length_c 11.141
_cell_angle_alpha 90.00
_cell_angle_beta 90.00
_cell_angle_gamma 90.00
_space_group_name_H-M_alt 'I m m m'
_space_group_IT_number 71
_space_group_name_Hall '-I 2 2'
loop_
_atom_site_label
_atom_site_type_symbol
_atom_site_fract_x
_atom_site_fract_y
_atom_site_fract_z
Ce1 Ce 0.000 0.000 0.000
Ce2 Ce 0.000 0.157 0.500
Ce3 Ce 0.000 0.346 0.240
Si1 Si 0.000 0.000 0.264
Si2 Si 0.000 0.500 0.000
As1 As 0.000 0.500 0.500
# VASP energy	-6.2084	eV per atom
# volume	278.0	Å³/f.u.



[3]
# PBE Ce4SiTe2As, relaxed
data_Ce4SiTe2As
_chemical_formula_sum 'Ce4 Si1 Te2 As1'
_cell_length_a 7.487
_cell_length_b 4.323
_cell_length_c 7.648
_cell_angle_alpha 90.00
_cell_angle_beta 109.05
_cell_angle_gamma 90.00
_space_group_name_H-M_alt 'P 1 2/m 1'
_space_group_IT_number 10
_space_group_name_Hall '-P 2y'
loop_
_atom_site_label
_atom_site_type_symbol
_atom_site_fract_x
_atom_site_fract_y
_atom_site_fract_z
Ce1 Ce 0.239 0.000 0.223
Ce2 Ce 0.256 0.500 0.776
Si1 Si 0.000 0.500 0.000
Te1 Te 0.000 0.000 0.500
Te2 Te 0.500 0.500 0.500
As1 As 0.500 0.000 0.000
# VASP energy	-6.2248	eV per atom
# volume	234.0	Å³/f.u.



[4]
# PBE CeSm3As4, relaxed
data_CeSm3As4
_chemical_formula_sum 'Ce1 Sm3 As4'
_cell_length_a 5.965
_cell_length_b 5.965
_cell_length_c 5.965
_cell_angle_alpha 90.00
_cell_angle_beta 90.00
_cell_angle_gamma 90.00
_space_group_name_H-M_alt 'P m -3 m'
_space_group_IT_number 221
_space_group_name_Hall '-P 4 2 3'
loop_
_atom_site_label
_atom_site_type_symbol
_atom_site_fract_x
_atom_site_fract_y
_atom_site_fract_z
Ce1 Ce 0.000 0.000 0.000
Sm1 Sm 0.000 0.500 0.500
As1 As 0.000 0.000 0.500
As2 As 0.500 0.500 0.500
# energy relative to the lowest polymorph listed for this composition	4.4	meV/atom
# volume	212.2	Å³/f.u.
# energy of formation	-1504	meV per atom



[5]
# PBE CeSm3As3, relaxed
data_CeSm3As3
_chemical_formula_sum 'Ce4 Sm12 As12'
_cell_length_a 8.921
_cell_length_b 8.921
_cell_length_c 8.921
_cell_angle_alpha 90.00
_cell_angle_beta 90.00
_cell_angle_gamma 90.00
_space_group_name_H-M_alt 'P 21 3'
_space_group_IT_number 198
_space_group_name_Hall 'P 2ac 2ab 3'
loop_
_atom_site_label
_atom_site_type_symbol
_atom_site_fract_x
_atom_site_fract_y
_atom_site_fract_z
Ce1 Ce 0.068 0.432 0.568
Sm1 Sm 0.068 0.568 0.932
Sm2 Sm 0.183 0.183 0.183
Sm3 Sm 0.184 0.816 0.316
As1 As 0.001 0.750 0.623
# volume	177.5	Å³/f.u.
# energy of formation	-1246	meV per atom



[6]
# PBE CeSm2As, relaxed
data_CeSm2As
_chemical_formula_sum 'Ce3 Sm6 As3'
_cell_length_a 3.9161
_cell_length_b 3.9161
_cell_length_c 28.5374
_cell_angle_alpha 90.00
_cell_angle_beta 90.00
_cell_angle_gamma 120.00
_space_group_name_H-M_alt 'R -3 m'
_space_group_IT_number 166
_space_group_name_Hall '-R 3 2"'
loop_
_atom_site_label
_atom_site_type_symbol
_atom_site_fract_x
_atom_site_fract_y
_atom_site_fract_z
Ce1 Ce 0.0000 0.0000 0.0000
Sm1 Sm 0.0000 0.0000 0.2291
As1 As 0.0000 0.0000 0.5000
# volume	126.3	Å³/f.u.
# energy of formation	-515	meV per atom